Density functional theory data (GGA-PBE) for a relaxed SrHgSb2 crystal.

Cell lengths 3.606, 3.606, 9.274 Å; angles 90.00, 90.00, 90.00 degrees
Fractional positions:
Sr 0.000 0.000 0.000
Hg 0.000 0.000 0.500
Sb 0.500 0.500 0.259
Sb 0.500 0.500 0.741

Summary:
**N(E_F)**: 0.627 states/eV per atom
**Formation energy without anion corrections**: -0.741 eV/f.u.
**V**: 30.15 Å³ per atom
**Total magnetic moment**: 0.00 μB/f.u.